This record from Alexandria via LeMat-Bulk describes a relaxed structure of Mg6CrBO8. The functional is GGA+U.

Structure (POSCAR):
```
Mg6CrBO8
1.0
4.262 0.000 0.000
0.000 4.262 0.000
0.000 0.000 8.495
Mg Cr B O
6 1 1 8
direct
0.000 0.000 0.000 Mg
0.000 0.500 0.253 Mg
0.000 0.500 0.747 Mg
0.500 0.000 0.253 Mg
0.500 0.000 0.747 Mg
0.500 0.500 0.000 Mg
0.000 0.000 0.500 Cr
0.500 0.500 0.500 B
0.000 0.000 0.254 O
0.000 0.000 0.746 O
0.000 0.500 0.000 O
0.000 0.500 0.500 O
0.500 0.000 0.000 O
0.500 0.000 0.500 O
0.500 0.500 0.246 O
0.500 0.500 0.754 O
```

**Total energy**: -6.06 eV per atom
**Energy above the lowest structure with this stoichiometry**: 8.1 kJ per mole of atoms
**Symmetry**: No. 123

=====

This record from Alexandria via LeMat-Bulk describes a relaxed structure of Mg6CrBO8. The functional is GGA+U.

Structure (POSCAR):
```
Mg6CrBO8
1.0
4.378 0.000 0.000
0.000 4.378 0.000
0.000 0.000 8.236
Mg Cr B O
6 1 1 8
direct
0.000 0.000 0.000 Mg
0.000 0.000 0.500 Mg
0.000 0.500 0.241 Mg
0.000 0.500 0.759 Mg
0.500 0.000 0.241 Mg
0.500 0.000 0.759 Mg
0.500 0.500 0.500 Cr
0.500 0.500 0.000 B
0.000 0.000 0.250 O
0.000 0.000 0.750 O
0.000 0.500 0.000 O
0.000 0.500 0.500 O
0.500 0.000 0.000 O
0.500 0.000 0.500 O
0.500 0.500 0.171 O
0.500 0.500 0.829 O
```

**Total energy**: -6.14 eV per atom
**Energy above the lowest structure with this stoichiometry**: 0.0 kJ per mole of atoms
**Symmetry**: No. 123

=====

Question: What is the energy above the lowest structure with this stoichiometry in the first record?
Answer: 8.1 kJ per mole of atoms